# 1
## NaInPd4 (PBE-GGA)

Data for a relaxed structure of NaInPd4.

CIF file:
```
data_NaInPd4
_cell_length_a 7.5759
_cell_length_b 7.5759
_cell_length_c 7.5759
_cell_angle_alpha 90.00
_cell_angle_beta 90.00
_cell_angle_gamma 90.00
_symmetry_space_group_name_H-M 'F -4 3 m'
_symmetry_Int_Tables_number 216
_symmetry_space_group_name_Hall 'F -4 2 3'
loop_
_atom_site_label
_atom_site_fract_x
_atom_site_fract_y
_atom_site_fract_z
_atom_site_occupancy
Na1 0.0000 0.0000 0.0000 1
In1 0.2500 0.2500 0.7500 1
Pd1 0.1248 0.1248 0.3752 1
```

Summary:
- formation energy from the elements (meV/atom) = -212.8
- magnetic moment (μB per formula unit) = 0.000
- relative energy among the computed polymorphs (meV/atom) = 0
- electronic total energy (eV/cell) = -104.4

=====

# 2
## NaIn5Pd3 (PBE-GGA)

Data for a relaxed structure of NaIn5Pd3.

CIF file:
```
data_NaIn5Pd3
_cell_length_a 9.8261
_cell_length_b 9.8917
_cell_length_c 9.4878
_cell_angle_alpha 90.00
_cell_angle_beta 109.44
_cell_angle_gamma 90.00
_symmetry_space_group_name_H-M 'C 1 2/m 1'
_symmetry_Int_Tables_number 12
loop_
_symmetry_equiv_pos_as_xyz
'x,y,z'
'-x,-y,-z'
'-x,y,-z'
'x,-y,z'
'x+1/2,y+1/2,z'
'-x+1/2,-y+1/2,-z'
'-x+1/2,y+1/2,-z'
'x+1/2,-y+1/2,z'
loop_
_atom_site_label
_atom_site_fract_x
_atom_site_fract_y
_atom_site_fract_z
_atom_site_occupancy
Na1 0.2449 0.0000 0.2481 1
In1 0.0000 0.2650 0.0000 1
In2 0.0120 0.2676 0.3380 1
In3 0.2396 0.0000 0.5731 1
In4 0.2408 0.0000 0.9207 1
Pd1 0.0000 0.0000 0.0000 1
Pd2 0.0000 0.5000 0.5000 1
Pd3 0.0087 0.0000 0.6673 1
Pd4 0.0154 0.5000 0.1673 1
```

Summary:
- formation energy from the elements (meV/atom) = -251.5
- magnetic moment (μB per formula unit) = 0.000
- electronic total energy (eV/cell) = -131.4